(1)
DFT (PBE) results for LiTl12In6 after structural relaxation.

Unit cell a=8.238 b=8.238 c=8.238 alpha=90.09 beta=90.09 gamma=90.09
Fractional coordinates of all 19 atoms:
Li1 0.000 0.000 0.000
Tl1 0.048 0.373 0.145
Tl2 0.145 0.048 0.373
Tl3 0.194 0.563 0.481
Tl4 0.373 0.145 0.048
Tl5 0.437 0.519 0.806
Tl6 0.481 0.194 0.563
Tl7 0.519 0.806 0.437
Tl8 0.563 0.481 0.194
Tl9 0.627 0.855 0.952
Tl10 0.806 0.437 0.519
Tl11 0.855 0.952 0.627
Tl12 0.952 0.627 0.855
In1 0.115 0.258 0.745
In2 0.255 0.885 0.742
In3 0.258 0.745 0.115
In4 0.742 0.255 0.885
In5 0.745 0.115 0.258
In6 0.885 0.742 0.255

Results
* symmetry: R-3, No. 148
* DFT formation energy: 0.007 eV per atom

=====

(2)
DFT (PBE) results for Li3TlIn2 after structural relaxation.

Unit cell a=3.504 b=3.504 c=9.817 alpha=90.00 beta=90.00 gamma=90.00
Fractional coordinates of all 6 atoms:
Li1 0.000 0.000 0.000
Li2 0.000 0.000 0.329
Li3 0.000 0.000 0.671
Tl1 0.500 0.500 0.500
In1 0.500 0.500 0.162
In2 0.500 0.500 0.838

Results
* symmetry: P4/mmm, No. 123
* DFT formation energy: -0.256 eV per atom
* excess energy over the best structure of this formula in the dataset: 0.00 eV/f.u.

=====

(3)
DFT (PBE) results for Li2Tl5In5 after structural relaxation.

Unit cell a=7.537 b=7.537 c=10.443 alpha=114.45 beta=114.45 gamma=36.72
Fractional coordinates of all 12 atoms:
Li1 0.088 0.088 0.261
Li2 0.912 0.912 0.739
Tl1 0.000 0.000 0.500
Tl2 0.155 0.155 0.990
Tl3 0.256 0.256 0.753
Tl4 0.744 0.744 0.247
Tl5 0.845 0.845 0.010
In1 0.327 0.327 0.495
In2 0.433 0.433 0.260
In3 0.500 0.500 0.000
In4 0.567 0.567 0.740
In5 0.673 0.673 0.505

Results
* symmetry: C2/m, No. 12
* DFT formation energy: -0.043 eV per atom

=====

(4)
DFT (PBE) results for Li4TlIn3 after structural relaxation.

Unit cell a=9.793 b=6.638 c=4.931 alpha=90.00 beta=90.00 gamma=90.00
Fractional coordinates of all 16 atoms:
Li1 0.000 0.248 0.000
Li2 0.000 0.752 0.000
Li3 0.250 0.248 0.495
Li4 0.250 0.752 0.495
Li5 0.500 0.248 0.000
Li6 0.500 0.752 0.000
Li7 0.750 0.248 0.505
Li8 0.750 0.752 0.505
Tl1 0.000 0.500 0.500
Tl2 0.500 0.500 0.500
In1 0.000 0.000 0.500
In2 0.250 0.000 0.995
In3 0.250 0.500 0.996
In4 0.500 0.000 0.500
In5 0.750 0.000 0.005
In6 0.750 0.500 0.004

Results
* symmetry: Pmma, No. 51
* DFT formation energy: -0.256 eV per atom

=====

no.,magnetization (Bohr magnetons per cell),total DFT energy (no corrections) (eV per atom),Fermi-level density of states (states/eV/cell)
1,0.000,-2.45,10.600
2,0.000,-2.52,1.913
3,0.000,-2.49,5.079
4,0.000,-2.54,5.139